1.
## Sm3Sn2Ru2 (PBE-GGA)

Data for Sm3Sn2Ru2 after structural relaxation.

Summary:
calculated density = 8.71 g/cm³
E_form = -0.56 eV/atom
N(E_F) = 11.143 states/eV per cell
crystal system = orthorhombic

Structure (POSCAR):
```
Sm3Sn2Ru2
1.0
-4.5709 0.5309 -3.5738
0.8142 -7.9392 -2.2208
-8.6133 -3.8066 10.4509
Sm Sn Ru
12 8 8
direct
0.1620 0.5949 0.0930 Sm
0.8380 0.4051 0.5930 Sm
0.8380 0.0949 0.4070 Sm
0.1620 0.9051 0.9070 Sm
0.8380 0.4051 0.9070 Sm
0.1620 0.5949 0.4070 Sm
0.1620 0.9051 0.5930 Sm
0.8380 0.0949 0.0930 Sm
0.3809 0.2222 0.2500 Sm
0.6191 0.7778 0.7500 Sm
0.6191 0.7222 0.2500 Sm
0.3809 0.2778 0.7500 Sm
0.3564 0.2500 0.0000 Sn
0.6436 0.7500 0.5000 Sn
0.6436 0.7500 0.0000 Sn
0.3564 0.2500 0.5000 Sn
0.8859 0.3825 0.2500 Sn
0.1141 0.6175 0.7500 Sn
0.1141 0.8825 0.2500 Sn
0.8859 0.1175 0.7500 Sn
0.6468 0.4626 0.0910 Ru
0.3532 0.5374 0.5910 Ru
0.3532 0.9626 0.4090 Ru
0.6468 0.0374 0.9090 Ru
0.3532 0.5374 0.9090 Ru
0.6468 0.4626 0.4090 Ru
0.6468 0.0374 0.5910 Ru
0.3532 0.9626 0.0910 Ru
```

---

2.
## Sm2SnRu2 (PBE-GGA)

Data for Sm2SnRu2 after structural relaxation.

Summary:
calculated density = 9.12 g/cm³
E_form = -0.45 eV/atom
N(E_F) = 5.663 states/eV per cell
crystal system = monoclinic

Structure (POSCAR):
```
Sm2SnRu2
1.0
-1.1625 3.3548 -4.4000
-3.8260 -4.1250 1.4983
-1.6959 6.1290 5.1213
Sm Sn Ru
4 2 4
direct
0.4902 0.2893 0.1462 Sm
0.2008 0.7107 0.3538 Sm
0.5098 0.7107 0.8538 Sm
0.7992 0.2893 0.6462 Sm
0.8644 0.0000 0.2500 Sn
0.1356 0.0000 0.7500 Sn
0.6996 0.7098 0.4900 Ru
0.9898 0.2902 0.0100 Ru
0.3004 0.2902 0.5100 Ru
0.0102 0.7098 0.9900 Ru
```

---

3.
## Sm5SnRu2 (PBE-GGA)

Data for Sm5SnRu2 after structural relaxation.

Summary:
calculated density = 8.31 g/cm³
E_form = -0.41 eV/atom
N(E_F) = 15.244 states/eV per cell
crystal system = tetragonal

Structure (POSCAR):
```
Sm5SnRu2
1.0
7.1103 0.0000 -3.3564
-1.5844 6.9315 -3.3564
-0.1542 -0.1934 8.8827
Sm Sn Ru
10 2 4
direct
0.5262 0.7071 0.7333 Sm
0.7929 0.9738 0.2667 Sm
0.0000 0.0000 0.0000 Sm
0.5000 0.5000 0.0000 Sm
0.2071 0.0262 0.7333 Sm
0.7071 0.2071 0.7333 Sm
0.0262 0.5262 0.7333 Sm
0.2929 0.7929 0.2667 Sm
0.9738 0.4738 0.2667 Sm
0.4738 0.2929 0.2667 Sm
0.7500 0.7500 0.5000 Sn
0.2500 0.2500 0.5000 Sn
0.1411 0.3589 0.0000 Ru
0.6411 0.1411 0.0000 Ru
0.3589 0.8589 0.0000 Ru
0.8589 0.6411 0.0000 Ru
```

---

4.
## Sm12SnRu6 (PBE-GGA)

Data for Sm12SnRu6 after structural relaxation.

Summary:
calculated density = 8.30 g/cm³
E_form = -0.26 eV/atom
N(E_F) = 19.336 states/eV per cell
crystal system = cubic

Structure (POSCAR):
```
Sm12SnRu6
1.0
8.1991 0.0000 -2.8988
-4.0995 7.1006 -2.8988
0.0000 0.0000 8.6964
Sm Sn Ru
12 1 6
direct
0.2972 0.1022 0.8050 Sm
0.2972 0.4922 0.1950 Sm
0.7028 0.5078 0.8050 Sm
0.7028 0.8978 0.1950 Sm
0.1022 0.8050 0.2972 Sm
0.4922 0.1950 0.2972 Sm
0.5078 0.8050 0.7028 Sm
0.8978 0.1950 0.7028 Sm
0.8050 0.2972 0.1022 Sm
0.1950 0.2972 0.4922 Sm
0.8050 0.7028 0.5078 Sm
0.1950 0.7028 0.8978 Sm
0.0000 0.0000 0.0000 Sn
0.3782 0.5000 0.8782 Ru
0.6218 0.5000 0.1218 Ru
0.5000 0.8782 0.3782 Ru
0.5000 0.1218 0.6218 Ru
0.8782 0.3782 0.5000 Ru
0.1218 0.6218 0.5000 Ru
```

---

5.
## Sm6SnRu (PBE-GGA)

Data for Sm6SnRu after structural relaxation.

Summary:
calculated density = 6.70 g/cm³
E_form = -0.08 eV/atom
N(E_F) = 10.214 states/eV per cell
crystal system = triclinic

Structure (POSCAR):
```
Sm6SnRu
1.0
-5.3128 1.6606 4.1425
-4.0846 -5.0263 2.5950
0.8692 -1.6249 7.5042
Sm Sn Ru
6 1 1
direct
0.0412 0.4165 0.7577 Sm
0.7827 0.0396 0.7572 Sm
0.5838 0.2155 0.2425 Sm
0.2173 0.9604 0.2428 Sm
0.9588 0.5835 0.2423 Sm
0.4162 0.7845 0.7575 Sm
0.5000 0.5000 0.5000 Sn
0.0000 0.0000 0.0000 Ru
```

---

6.
## Sm6SnRu2 (PBE-GGA)

Data for Sm6SnRu2 after structural relaxation.

Summary:
calculated density = 8.18 g/cm³
E_form = -0.38 eV/atom
N(E_F) = 13.961 states/eV per cell
crystal system = orthorhombic

Structure (POSCAR):
```
Sm6SnRu2
1.0
8.6558 -0.0413 -0.1849
-3.3178 7.9948 0.1849
-3.0169 -3.7433 7.2004
Sm Sn Ru
12 2 4
direct
0.5309 0.7129 0.8179 Sm
0.4691 0.2871 0.1821 Sm
0.1050 0.2871 0.8179 Sm
0.8950 0.7129 0.1821 Sm
0.7951 0.7619 0.5569 Sm
0.2049 0.2381 0.4431 Sm
0.2049 0.7619 0.9668 Sm
0.7951 0.2381 0.0332 Sm
0.6873 0.3573 0.6700 Sm
0.3127 0.6427 0.3300 Sm
0.3127 0.9827 0.6700 Sm
0.6873 0.0173 0.3300 Sm
0.0000 0.5000 0.5000 Sn
0.0000 0.0000 0.0000 Sn
0.5000 0.3731 0.8731 Ru
0.5000 0.6269 0.1269 Ru
0.6764 0.0000 0.6764 Ru
0.3236 0.0000 0.3236 Ru
```